First-principles (meta-GGA SCAN) data for KFeSi2 at its PBEsol-relaxed geometry, as listed in Alexandria.

a = 4.5679 Å, b = 4.5679 Å, c = 4.5679 Å
α = 89.76°, β = 120.14°, γ = 120.14°
Last column: nearest neighbours and their distance in Å.
Fractional positions:
1 Fe 0.0000 0.5000 0.5000  4 K 2.80, 4 Si 2.80
2 K 0.5000 0.7500 0.2500  4 Si 2.80, 4 Fe 2.80
3 Si 0.0000 0.0000 0.0000  4 Si 2.80, 4 K 2.80
4 Si 0.5000 0.2500 0.7500  4 Fe 2.80, 4 Si 2.80

Computed properties:
M_tot = 0.655 μB per atom
SG = I-4m2 (119)
Formation energy (no corrections) = 1.030 eV/atom
Energy above the lowest structure with this stoichiometry = 941 meV/atom
N(E_F) = 0.40 states/eV/atom